Record 1
CaMn3Hg | PBE | relaxed

As for the energy above the most stable polymorph in this dataset: 0 meV/atom. The energy relative to the elements is 856 meV/atom.

It has space group Pm-3m (No. 221), with a = 5.0930 Å, b = 5.0930 Å, c = 5.0930 Å, α = 90.00°, β = 90.00° and γ = 90.00°. Symmetry generates all atoms from Ca at (0.0000, 0.0000, 0.0000), Mn at (0.0000, 0.5000, 0.5000) and Hg at (0.5000, 0.5000, 0.5000).


Record 2
MgTa2Au | PBE | relaxed

The energy relative to the elements is 187 meV/atom.

It has space group P4/mmm (No. 123), with a = 2.8935 Å, b = 2.8935 Å, c = 8.7675 Å, α = 90.00°, β = 90.00° and γ = 90.00°. Symmetry generates all atoms from Mg at (0.0000, 0.0000, 0.0000), Ta at (0.5000, 0.5000, 0.2592) and Au at (0.0000, 0.0000, 0.5000).